# 1
Computed, not measured: crystalline MgFe2Si at its relaxed geometry at the PBE level of DFT.

Computed properties:
- space-group type = Pm-3m, No. 221

Cell: 5.784 5.784 5.784 Å, 90.00 90.00 90.00°
Sites, in units of the cell vectors:
Mg: 0.000 0.000 0.000
Mg: 0.000 0.000 0.500
Mg: 0.000 0.500 0.000
Mg: 0.500 0.000 0.000
Fe: 0.271 0.271 0.271
Fe: 0.271 0.271 0.729
Fe: 0.271 0.729 0.271
Fe: 0.271 0.729 0.729
Fe: 0.729 0.271 0.271
Fe: 0.729 0.271 0.729
Fe: 0.729 0.729 0.271
Fe: 0.729 0.729 0.729
Si: 0.000 0.500 0.500
Si: 0.500 0.000 0.500
Si: 0.500 0.500 0.000
Si: 0.500 0.500 0.500

---

# 2
Computed, not measured: crystalline MgFe2Si at its relaxed geometry at the PBE level of DFT.

Computed properties:
- space-group type = Pm-3m, No. 221

Cell: 5.784 5.784 5.784 Å, 90.00 90.00 90.00°
Sites, in units of the cell vectors:
Mg: 0.000 0.000 0.000
Mg: 0.000 0.000 0.500
Mg: 0.000 0.500 0.000
Mg: 0.500 0.000 0.000
Fe: 0.271 0.271 0.271
Fe: 0.271 0.271 0.729
Fe: 0.271 0.729 0.271
Fe: 0.271 0.729 0.729
Fe: 0.729 0.271 0.271
Fe: 0.729 0.271 0.729
Fe: 0.729 0.729 0.271
Fe: 0.729 0.729 0.729
Si: 0.000 0.500 0.500
Si: 0.500 0.000 0.500
Si: 0.500 0.500 0.000
Si: 0.500 0.500 0.500

---

| no. | electronic total energy (Ry per atom) | size of the total moment (μB per atom) |
| --- | --- | --- |
| 1 | -0.441 | 0.395 |
| 2 | -0.441 | 0.395 |